Below is an optimized crystal structure of Li3Sc3USe8, with properties calculated at the PBE level.

- Magnetization: 2.010 μB/cell
- Final energy: -5.7411 eV/atom
- Volume: 22.8 Å³/atom
- SG: No. 166

a = 7.8296 Å, b = 7.8292 Å, c = 7.8727 Å
α = 119.84°, β = 90.00°, γ = 120.00°
Closest atoms and distances in Å follow each position.
Sites, in units of the cell vectors:
Se: 0.2529 0.5058 0.7441  2 Sc 2.73, 1 U 2.81, 2 Li 2.83
Sc: 0.0000 0.5000 0.5000  6 Se 2.73-2.75
Sc: 0.5000 0.0000 0.5000  6 Se 2.73-2.75
Se: 0.2615 0.0086 0.2559  2 Sc 2.73, 1 U 2.81, 2 Li 2.82-2.83
Se: 0.7471 0.0086 0.2559  2 Sc 2.73, 1 U 2.81, 2 Li 2.82-2.83
U: 0.0000 0.0000 0.5000  6 Se 2.81
Se: 0.2529 0.9914 0.7441  2 Sc 2.73, 1 U 2.81, 2 Li 2.82-2.83
Se: 0.2526 0.5053 0.2581  3 Sc 2.75, 3 Li 2.80-2.81
Sc: 0.5000 0.5000 0.5000  6 Se 2.73-2.75
Se: 0.7385 0.9914 0.7441  2 Sc 2.73, 1 U 2.81, 2 Li 2.82-2.83
Se: 0.7474 0.4947 0.7419  3 Sc 2.75, 3 Li 2.80-2.81
Li: 0.5000 0.5000 0.0000  6 Se 2.81-2.83
Li: 0.0000 0.0000 0.0000  6 Se 2.80-2.83
Se: 0.7471 0.4942 0.2559  2 Sc 2.73, 1 U 2.81, 2 Li 2.83
Li: 0.0000 0.5000 0.0000  6 Se 2.81-2.83